# 1
A plane-wave DFT calculation with PBE was carried out for crystalline In2CuGeF at its relaxed geometry.

## Properties
Magnetic moment   0.0 μB/f.u.
Space-group type   P4/mmm (123)
Density of states at the Fermi level   2.09 states/eV/cell
E above lowest polymorph   0.0 meV/atom
VASP energy   -3.381 eV/atom
Uncorrected formation energy   -0.85 eV/f.u.
Mass density   6.1 g/cm3

a b c (Å): 5.1907 3.9083 5.1907
angles (deg): 90.00 90.00 90.00
Fractional positions:
Ge1 0.5000 0.5000 0.5000
F1 0.0000 0.0000 0.0000
Cu1 0.0000 0.5000 0.0000
In1 0.0000 0.0000 0.5000
In2 0.5000 0.0000 0.0000

***

# 2
A plane-wave DFT calculation with PBE was carried out for crystalline Cs2NdUO6 at its relaxed geometry.

## Properties
Magnetic moment   1.0 μB/f.u.
Space-group type   Fm-3m (225)
Density of states at the Fermi level   10.41 states/eV/cell
VASP energy   -7.332 eV/atom
Uncorrected formation energy   -25.81 eV/f.u.
Mass density   6.7 g/cm3

a b c (Å): 6.3801 6.3802 6.3797
angles (deg): 60.00 60.00 90.00
Fractional positions:
Cs1 0.2500 0.7500 0.5000
Cs2 0.7500 0.2500 0.5000
Nd1 0.0000 0.0000 0.0000
U1 0.5000 0.5000 0.0000
O1 0.2679 0.7321 0.0000
O2 0.7322 0.7321 0.9999
O3 0.2679 0.2679 0.4642
O4 0.7321 0.2679 0.0000
O5 0.2678 0.2679 0.0001
O6 0.7321 0.7321 0.5358

***

# 3
A plane-wave DFT calculation with PBE was carried out for crystalline PrPa2MoN4 at its relaxed geometry.

## Properties
Magnetic moment   0.0 μB/f.u.
Space-group type   Cmcm (63)
Density of states at the Fermi level   7.52 states/eV/cell
VASP energy   -9.695 eV/atom
Uncorrected formation energy   -9.66 eV/f.u.
Mass density   10.4 g/cm3

a b c (Å): 3.4074 6.2763 11.7538
angles (deg): 90.00 90.00 105.75
Fractional positions:
Pr1 0.1121 0.2242 0.7500
Pr2 0.8879 0.7758 0.2500
Pa1 0.3683 0.7366 0.5518
Pa2 0.6317 0.2634 0.0518
Pa3 0.6317 0.2634 0.4482
Pa4 0.3683 0.7366 0.9482
Mo1 0.8501 0.7001 0.7500
Mo2 0.1499 0.2999 0.2500
N1 0.2712 0.5424 0.1152
N2 0.7288 0.4576 0.6152
N3 0.7288 0.4576 0.8848
N4 0.2712 0.5424 0.3848
N5 0.0000 0.0000 0.5000
N6 0.0000 0.0000 0.0000
N7 0.4582 0.9163 0.7500
N8 0.5418 0.0837 0.2500

***

# 4
A plane-wave DFT calculation with PBE was carried out for crystalline YHo3Tl4 at its relaxed geometry.

## Properties
Magnetic moment   0.0 μB/f.u.
Space-group type   P4/mmm (123)
Density of states at the Fermi level   5.44 states/eV/cell
E_form   -0.341 eV/atom
E above lowest polymorph   0.0 meV/atom
VASP energy   -4.049 eV/atom
Mass density   10.8 g/cm3

a b c (Å): 3.7827 3.7827 15.1077
angles (deg): 90.00 90.00 90.00
Fractional positions:
Y1 0.5000 0.5000 0.0000
Tl1 0.0000 0.0000 0.8733
Tl2 0.0000 0.0000 0.1267
Tl3 0.0000 0.0000 0.3757
Tl4 0.0000 0.0000 0.6243
Ho1 0.5000 0.5000 0.2511
Ho2 0.5000 0.5000 0.5000
Ho3 0.5000 0.5000 0.7489

***

# 5
A plane-wave DFT calculation with PBE was carried out for crystalline Rb3AsC at its relaxed geometry.

## Properties
Magnetic moment   4.0 μB/f.u.
Space-group type   Pm-3m (221)
Density of states at the Fermi level   4.51 states/eV/cell
E_form   0.891 eV/atom
E above lowest polymorph   0.0 meV/atom
VASP energy   -2.464 eV/atom
Mass density   2.7 g/cm3

a b c (Å): 5.9229 5.9229 5.9229
angles (deg): 90.00 90.00 90.00
Fractional positions:
As1 0.5000 0.5000 0.5000
C1 0.0000 0.0000 0.0000
Rb1 0.0000 0.5000 0.0000
Rb2 0.0000 0.0000 0.5000
Rb3 0.5000 0.0000 0.0000

***

# 6
A plane-wave DFT calculation with PBE was carried out for crystalline Nd2HgGe2Rh5 at its relaxed geometry.

## Properties
Magnetic moment   0.0 μB/f.u.
Space-group type   P4/mbm (127)
Density of states at the Fermi level   3.49 states/eV/cell
E_form   -0.659 eV/atom
VASP energy   -6.242 eV/atom
Mass density   10.5 g/cm3

a b c (Å): 3.6504 9.9839 9.9839
angles (deg): 90.00 90.00 90.00
Fractional positions:
Nd1 0.0000 0.6758 0.1758
Nd2 0.0000 0.3242 0.8242
Nd3 0.0000 0.1758 0.3242
Nd4 0.0000 0.8242 0.6758
Hg1 0.0000 0.0000 0.0000
Hg2 0.0000 0.5000 0.5000
Ge1 0.0000 0.1224 0.6224
Ge2 0.0000 0.8776 0.3776
Ge3 0.0000 0.6224 0.8776
Ge4 0.0000 0.3776 0.1224
Rh1 0.5000 0.2144 0.0674
Rh2 0.5000 0.7856 0.9326
Rh3 0.5000 0.0674 0.7856
Rh4 0.5000 0.7144 0.4326
Rh5 0.5000 0.9326 0.2144
Rh6 0.5000 0.2856 0.5674
Rh7 0.5000 0.5674 0.7144
Rh8 0.5000 0.4326 0.2856
Rh9 0.5000 0.5000 0.0000
Rh10 0.5000 0.0000 0.5000